## i
# Te4Pb5S, relaxed, DFT PBE-GGA
# Mass density = 7.839 g cm⁻³
# Symmetry = No. 166
data_Te4Pb5S
_chemical_formula_sum 'Te4 Pb5 S1'
_space_group_name_H-M_alt 'P 1'
_space_group_IT_number 1
_cell_length_a 4.555
_cell_length_b 4.555
_cell_length_c 18.797
_cell_angle_alpha 83.04
_cell_angle_beta 83.04
_cell_angle_gamma 60.00
loop_
_space_group_symop_operation_xyz
'x,y,z'
loop_
_atom_site_label
_atom_site_type_symbol
_atom_site_fract_x
_atom_site_fract_y
_atom_site_fract_z
S1 S 0.500 0.500 0.500
Pb1 Pb 0.000 0.000 0.000
Pb2 Pb 0.195 0.195 0.416
Pb3 Pb 0.805 0.805 0.584
Pb4 Pb 0.403 0.403 0.792
Pb5 Pb 0.597 0.597 0.208
Te1 Te 0.299 0.299 0.104
Te2 Te 0.701 0.701 0.896
Te3 Te 0.104 0.104 0.689
Te4 Te 0.896 0.896 0.311

=====

## ii
# Te4Pb5S, relaxed, DFT PBE-GGA
# Mass density = 7.775 g cm⁻³
# Symmetry = No. 139
data_Te4Pb5S
_chemical_formula_sum 'Te4 Pb5 S1'
_space_group_name_H-M_alt 'P 1'
_space_group_IT_number 1
_cell_length_a 4.574
_cell_length_b 4.574
_cell_length_c 16.437
_cell_angle_alpha 98.00
_cell_angle_beta 98.00
_cell_angle_gamma 90.00
loop_
_space_group_symop_operation_xyz
'x,y,z'
loop_
_atom_site_label
_atom_site_type_symbol
_atom_site_fract_x
_atom_site_fract_y
_atom_site_fract_z
Te1 Te 0.599 0.599 0.199
Te2 Te 0.803 0.803 0.605
Te3 Te 0.197 0.197 0.395
Te4 Te 0.401 0.401 0.801
S1 S 0.000 0.000 0.000
Pb1 Pb 0.702 0.702 0.404
Pb2 Pb 0.500 0.500 0.000
Pb3 Pb 0.298 0.298 0.596
Pb4 Pb 0.908 0.908 0.815
Pb5 Pb 0.092 0.092 0.185

=====

Which of them is most stable? Easy: i.